Computed, not measured: a relaxed CuAuN2 crystal at the PBE-GGA level of DFT.

Energy above the lowest structure with this stoichiometry: 680 meV per atom
ΔE_f (raw): 1.74 eV per atom

```
CuAuN2
1.0
0.000 2.768 2.768
2.768 0.000 2.768
2.768 2.768 0.000
Au Cu N
1 1 2
Direct
0.500 0.500 0.500
0.000 0.000 0.000
0.250 0.250 0.250
0.750 0.750 0.750
```

=====

Computed, not measured: a relaxed Tb6Pm3ErTm2 crystal at the PBE-GGA level of DFT.

```
Tb6Pm3ErTm2
1.0
-2.645 4.354 3.495
1.240 -5.554 2.403
10.978 4.159 1.311
Tm Tb Pm Er
2 6 3 1
Direct
0.333 0.667 0.000
0.667 0.333 0.000
0.415 0.082 0.246
0.082 0.415 0.246
0.251 0.251 0.754
0.749 0.749 0.246
0.585 0.918 0.754
0.918 0.585 0.754
0.833 0.167 0.500
0.500 0.500 0.500
0.167 0.833 0.500
0.000 0.000 0.000
```

=====

Computed, not measured: a relaxed NaDyY2S4 crystal at the PBE-GGA level of DFT.

ΔE_f (raw): -1.92 eV per atom

```
NaDyY2S4
1.0
-3.473 -1.409 1.127
-1.995 -0.301 -6.523
1.647 -6.110 -2.561
Dy S Y Na
1 4 2 1
Direct
0.000 0.500 0.500
0.000 0.245 0.255
0.500 0.750 0.251
0.500 0.250 0.749
0.000 0.755 0.745
0.500 0.000 0.500
0.000 0.000 0.000
0.500 0.500 0.000
```

=====

Computed, not measured: a relaxed PuHf2Zn crystal at the PBE-GGA level of DFT.

Energy above the lowest structure with this stoichiometry: 214 meV per atom

```
PuHf2Zn
1.0
-0.210 -3.269 3.627
-2.683 -4.052 -0.515
2.196 -4.339 -0.491
Zn Hf Pu
1 2 1
Direct
0.500 0.500 0.500
0.250 0.250 0.250
0.750 0.750 0.750
0.000 0.000 0.000
```

=====

Computed, not measured: a relaxed K4AgGe3Br12 crystal at the PBE-GGA level of DFT.

ΔE_f (raw): -0.98 eV per atom

```
K4AgGe3Br12
1.0
-0.008 -0.929 9.458
3.699 -7.813 -3.948
5.223 7.556 -2.437
Br K Ge Ag
12 4 3 1
Direct
0.250 0.750 0.500
0.000 0.746 0.746
0.746 0.000 0.746
0.500 0.250 0.750
0.750 0.250 0.500
0.250 0.500 0.750
0.746 0.746 0.000
0.000 0.254 0.254
0.254 0.000 0.254
0.500 0.750 0.250
0.254 0.254 0.000
0.750 0.500 0.250
0.000 0.000 0.500
0.000 0.500 0.000
0.500 0.000 0.000
0.500 0.500 0.500
0.500 0.000 0.500
0.000 0.500 0.500
0.500 0.500 0.000
0.000 0.000 0.000
```

=====

Computed, not measured: a relaxed LaZnB crystal at the PBE-GGA level of DFT.

Energy above the lowest structure with this stoichiometry: 308 meV per atom

```
LaZnB
1.0
9.497 0.000 0.000
0.000 3.854 0.000
0.000 0.000 6.653
Zn B La
4 4 4
Direct
0.474 0.250 0.112
0.526 0.750 0.888
0.026 0.750 0.612
0.974 0.250 0.388
0.572 0.250 0.761
0.072 0.250 0.739
0.428 0.750 0.239
0.928 0.750 0.261
0.827 0.250 0.986
0.327 0.250 0.514
0.173 0.750 0.014
0.673 0.750 0.486
```

=====

Record-wise total DFT energy (no corrections) values, in eV per atom: -4.26; -4.61; -6.34; -8.70; -3.04; -4.29